Entry 1:
# Li3WO4 | Alexandria | PBE+U | relaxed
data_Li3WO4
_chemical_formula_sum 'Li6 W2 O8'
_space_group_name_H-M_alt 'P m m n'
_space_group_IT_number 59
_cell_length_a 4.1369
_cell_length_b 7.2449
_cell_length_c 5.8885
_cell_angle_alpha 90.00
_cell_angle_beta 90.00
_cell_angle_gamma 90.00
loop_
_space_group_symop_operation_xyz
'x,y,z'
'-x,-y,-z'
'-x+1/2,-y+1/2,z'
'x+1/2,y+1/2,-z'
'x+1/2,-y,-z'
'-x+1/2,y,z'
'-x,y+1/2,-z'
'x,-y+1/2,z'
loop_
_atom_site_label
_atom_site_fract_x
_atom_site_fract_y
_atom_site_fract_z
Li1 0.2500 0.0170 0.1661
Li2 0.2500 0.7500 0.6863
W1 0.2500 0.2500 0.6760
O1 0.2500 0.0179 0.8191
O2 0.2500 0.2500 0.3461
O3 0.2500 0.7500 0.3295
# - Excess energy over the best structure of this formula in the dataset: 21.3 meV per atom
# - Crystal system: orthorhombic


Entry 2:
# LiWO2 | Alexandria | PBE+U | relaxed
data_LiWO2
_chemical_formula_sum 'Li1 W1 O2'
_space_group_name_H-M_alt 'P 4/m m m'
_space_group_IT_number 123
_space_group_name_Hall '-P 4 2'
_cell_length_a 2.7132
_cell_length_b 2.7132
_cell_length_c 5.4162
_cell_angle_alpha 90.00
_cell_angle_beta 90.00
_cell_angle_gamma 90.00
loop_
_atom_site_label
_atom_site_fract_x
_atom_site_fract_y
_atom_site_fract_z
Li1 0.0000 0.0000 0.0000
W1 0.0000 0.0000 0.5000
O1 0.5000 0.5000 0.2710
# - Excess energy over the best structure of this formula in the dataset: 508.3 meV per atom
# - Crystal system: tetragonal